Below is a relaxed structure of Cs2PrI4, with properties calculated at the PBE level.

a = 6.2675 Å, b = 6.2675 Å, c = 19.4607 Å
α = 90.00°, β = 90.00°, γ = 90.00°
Space group I4/mmm (No. 139)
Unique sites:
Cs 0.0000 0.0000 0.1375 x4
Pr 0.0000 0.0000 0.5000 x2
I 0.0000 0.0000 0.3344 x4
I 0.0000 0.5000 0.0000 x4

Properties
M_tot in μB per atom: 0.0803
Energy above the lowest structure with this stoichiometry in eV per formula unit: 0.00
Density in g cm⁻³: 3.97
Energy relative to the elements, uncorrected in kJ per mole of atoms: -133

Below is a relaxed structure of Cs2PrI4, with properties calculated at the PBE level.

a = 9.7508 Å, b = 16.4994 Å, c = 4.5035 Å
α = 90.00°, β = 90.00°, γ = 90.00°
Space group Pbam (No. 55)
Unique sites:
Cs 0.0808 0.1663 0.0000 x4
Pr 0.0000 0.5000 0.5000 x2
I 0.1073 0.6844 0.5000 x4
I 0.2328 0.4549 0.0000 x4

Properties
M_tot in μB per atom: 0.0373
Energy above the lowest structure with this stoichiometry in eV per formula unit: 0.02
Density in g cm⁻³: 4.19
Energy relative to the elements, uncorrected in kJ per mole of atoms: -132

Below is a relaxed structure of Cs5Pr2I12, with properties calculated at the PBE level.

a = 19.1219 Å, b = 11.2139 Å, c = 13.5067 Å
α = 90.00°, β = 134.87°, γ = 90.00°
Space group C2/m (No. 12)
Unique sites:
Cs 0.0000 0.0000 0.0000 x2
Cs 0.2466 0.5000 0.9998 x4
Cs 0.2484 0.5000 0.4972 x4
Pr 0.0000 0.2500 0.5000 x4
I 0.9995 0.1847 0.2646 x8
I 0.0005 0.5000 0.3615 x4
I 0.1384 0.0000 0.6379 x4
I 0.2341 0.3151 0.7348 x8

Properties
M_tot in μB per atom: 0.0000
Energy above the lowest structure with this stoichiometry in eV per formula unit: 0.12
Density in g cm⁻³: 3.99
Energy relative to the elements, uncorrected in kJ per mole of atoms: -132

- The lowest M_tot belongs to which entry?
  Cs5Pr2I12